Crystalline Tl2TcW at its relaxed geometry, computed with PBE.

Values from the calculation:
E_form	0.79	eV per atom
density	13.67	g cm⁻³
density of states at the Fermi level	0.67	states/eV/atom
total moment	0.00	μB per cell
E above lowest polymorph	340	meV per atom

CIF file:
```
data_Tl2TcW
_chemical_formula_sum 'Tl4 Tc2 W2'
_space_group_name_H-M_alt 'C 1 m 1'
_space_group_IT_number 8
_space_group_name_Hall 'C -2y'
_cell_length_a 10.772
_cell_length_b 3.235
_cell_length_c 5.263
_cell_angle_alpha 90.00
_cell_angle_beta 113.82
_cell_angle_gamma 90.00
loop_
_atom_site_label
_atom_site_fract_x
_atom_site_fract_y
_atom_site_fract_z
_atom_site_occupancy
Tl1 0.000 0.000 0.000 1
Tl2 0.210 0.000 0.633 1
Tc1 0.437 0.000 0.461 1
W1 0.273 0.500 0.179 1
```